The following is a PBE calculation of crystalline LiCeAu at its relaxed geometry, from the Alexandria database.

abc: 3.965 3.965 8.538
angles: 90.00 90.00 90.00
Each line ends with the local moment (μB).
Fractional positions:
Li  0.250  0.750  0.500  0.00
Li  0.750  0.250  0.500  0.00
Ce  0.250  0.250  0.135  0.57
Ce  0.750  0.750  0.865  0.57
Au  0.250  0.250  0.728  0.00
Au  0.750  0.750  0.272  0.00

## Properties
DOS(E_F): 5.56 states/eV/f.u.
Excess energy over the best structure of this formula in the dataset: 7 meV per atom
Size of the total moment: 0.22 μB/atom
Total energy: -4.160 eV per atom
Energy relative to the elements: -0.45 eV per atom